# AlFe2Si2 PBE relaxed
# * calculated volume: 118.3 Å³ per cell
# * theoretical density: 5.47 g cm⁻³
# * E_form (uncorrected): -0.28 eV per atom
data_AlFe2Si2
_cell_length_a 6.6949
_cell_length_b 6.6949
_cell_length_c 2.6387
_cell_angle_alpha 90.00
_cell_angle_beta 90.00
_cell_angle_gamma 90.00
_space_group_name_H-M_alt 'P 4/m b m'
_space_group_IT_number 127
_space_group_name_Hall '-P 4 2ab'
loop_
_atom_site_label
_atom_site_type_symbol
_atom_site_fract_x
_atom_site_fract_y
_atom_site_fract_z
_atom_site_occupancy
Al1 Al 0.0000 0.0000 0.0000 1
Fe1 Fe 0.1620 0.3380 0.5000 1
Si1 Si 0.1330 0.6330 0.0000 1